[1]
# PBE-GGA KPa2ReN5, relaxed
data_KPa2ReN5
_chemical_formula_sum 'K4 Pa8 Re4 N20'
_space_group_name_H-M_alt 'I 4/m c m'
_space_group_IT_number 140
_space_group_name_Hall '-I 4 2c'
_cell_length_a 6.757
_cell_length_b 6.757
_cell_length_c 11.459
_cell_angle_alpha 90.00
_cell_angle_beta 90.00
_cell_angle_gamma 90.00
loop_
_atom_site_label
_atom_site_type_symbol
_atom_site_fract_x
_atom_site_fract_y
_atom_site_fract_z
K1 K 0.000 0.000 0.250
Pa1 Pa 0.186 0.314 0.000
Re1 Re 0.000 0.500 0.250
N1 N 0.000 0.000 0.000
N2 N 0.139 0.361 0.369
# Spin magnetization   0.00 μB/cell
# Energy relative to the elements, uncorrected   -7.9 eV per formula unit



[2]
# PBE-GGA K4Pa3ReN8, relaxed
data_K4Pa3ReN8
_chemical_formula_sum 'K12 Pa9 Re3 N24'
_space_group_name_H-M_alt 'R -3 m'
_space_group_IT_number 166
_space_group_name_Hall '-R 3 2"'
_cell_length_a 6.9574
_cell_length_b 6.9574
_cell_length_c 19.2209
_cell_angle_alpha 90.00
_cell_angle_beta 90.00
_cell_angle_gamma 120.00
loop_
_atom_site_label
_atom_site_type_symbol
_atom_site_fract_x
_atom_site_fract_y
_atom_site_fract_z
K1 K 0.0000 0.0000 0.0000
K2 K 0.0000 0.5000 0.0000
Pa1 Pa 0.0000 0.5000 0.5000
Re1 Re 0.0000 0.0000 0.5000
N1 N 0.0000 0.0000 0.2220
N2 N 0.0177 0.5089 0.2212
# Spin magnetization   6.18 μB/cell
# Energy relative to the elements, uncorrected   -13.0 eV per formula unit



[3]
# PBE-GGA KPaRe2N6, relaxed
data_KPaRe2N6
_chemical_formula_sum 'K4 Pa4 Re8 N24'
_space_group_name_H-M_alt 'C 1 2/c 1'
_space_group_IT_number 15
_space_group_name_Hall '-C 2yc'
_cell_length_a 11.163
_cell_length_b 10.415
_cell_length_c 6.522
_cell_angle_alpha 90.00
_cell_angle_beta 109.63
_cell_angle_gamma 90.00
loop_
_atom_site_label
_atom_site_type_symbol
_atom_site_fract_x
_atom_site_fract_y
_atom_site_fract_z
K1 K 0.000 0.085 0.250
Pa1 Pa 0.000 0.305 0.750
Re1 Re 0.203 0.415 0.187
N1 N 0.085 0.287 0.100
N2 N 0.138 0.145 0.719
N3 N 0.161 0.486 0.900
# Spin magnetization   0.00 μB/cell
# Energy relative to the elements, uncorrected   -4.1 eV per formula unit



[4]
# PBE-GGA KPa3Re4N12, relaxed
data_KPa3Re4N12
_chemical_formula_sum 'K3 Pa9 Re12 N36'
_space_group_name_H-M_alt 'R 3 2'
_space_group_IT_number 155
_space_group_name_Hall 'R 3 2"'
_cell_length_a 11.4036
_cell_length_b 11.4036
_cell_length_c 9.6858
_cell_angle_alpha 90.00
_cell_angle_beta 90.00
_cell_angle_gamma 120.00
loop_
_atom_site_label
_atom_site_type_symbol
_atom_site_fract_x
_atom_site_fract_y
_atom_site_fract_z
K1 K 0.0000 0.0000 0.0000
Pa1 Pa 0.0000 0.5623 0.0000
Re1 Re 0.0000 0.0000 0.5000
Re2 Re 0.0000 0.4387 0.5000
N1 N 0.0000 0.5994 0.5000
N2 N 0.0000 0.8408 0.5000
N3 N 0.0480 0.2264 0.2043
# Spin magnetization   0.00 μB/cell
# Energy relative to the elements, uncorrected   -7.8 eV per formula unit



[5]
# PBE-GGA K2Pa2ReN6, relaxed
data_K2Pa2ReN6
_chemical_formula_sum 'K4 Pa4 Re2 N12'
_space_group_name_H-M_alt 'C 1 2/m 1'
_space_group_IT_number 12
_space_group_name_Hall '-C 2y'
_cell_length_a 5.890
_cell_length_b 10.103
_cell_length_c 6.723
_cell_angle_alpha 90.00
_cell_angle_beta 103.86
_cell_angle_gamma 90.00
loop_
_atom_site_label
_atom_site_type_symbol
_atom_site_fract_x
_atom_site_fract_y
_atom_site_fract_z
K1 K 0.000 0.156 0.000
Pa1 Pa 0.000 0.335 0.500
Re1 Re 0.000 0.000 0.500
N1 N 0.197 0.156 0.656
N2 N 0.246 0.500 0.659
# Spin magnetization   0.06 μB/cell
# Energy relative to the elements, uncorrected   -8.4 eV per formula unit



[6]
# PBE-GGA KPa2RhN4, relaxed
data_KPa2RhN4
_chemical_formula_sum 'K4 Pa8 Rh4 N16'
_space_group_name_H-M_alt 'C m c m'
_space_group_IT_number 63
_space_group_name_Hall '-C 2c 2'
_cell_length_a 3.698
_cell_length_b 11.895
_cell_length_c 12.164
_cell_angle_alpha 90.00
_cell_angle_beta 90.00
_cell_angle_gamma 90.00
loop_
_atom_site_label
_atom_site_type_symbol
_atom_site_fract_x
_atom_site_fract_y
_atom_site_fract_z
K1 K 0.000 0.080 0.250
Pa1 Pa 0.000 0.365 0.059
Rh1 Rh 0.000 0.196 0.750
N1 N 0.000 0.000 0.000
N2 N 0.000 0.243 0.585
N3 N 0.000 0.380 0.250
# Spin magnetization   0.00 μB/cell
# Energy relative to the elements, uncorrected   -7.9 eV per formula unit